No. 1
The following is a PBE-GGA calculation of Pm2GeSe after structural relaxation, from the Alexandria database.

POSCAR file:
```
Pm2GeSe
1.0
-3.719 -1.677 0.956
-0.602 -1.759 3.755
-3.656 5.284 4.228
Pm Ge Se
2 1 1
Direct
0.078 0.078 0.767 Pm
0.257 0.257 0.230 Pm
0.668 0.668 0.997 Ge
0.498 0.498 0.505 Se
```

Computed properties:
- raw total energy (eV per atom) = -5.697
- formation energy from raw total energies (eV per atom) = -1.30
- space-group type = R3m, No. 160
- density (g/cm³) = 6.605

***

No. 2
The following is a PBE-GGA calculation of LaRe4Hg after structural relaxation, from the Alexandria database.

POSCAR file:
```
LaRe4Hg
1.0
-1.808 2.949 4.195
-0.450 5.399 -0.465
-4.918 2.310 -0.220
La Re Hg
1 4 1
Direct
0.000 0.000 0.000 La
0.874 0.375 0.375 Re
0.375 0.375 0.874 Re
0.375 0.874 0.375 Re
0.375 0.375 0.375 Re
0.750 0.750 0.750 Hg
```

Computed properties:
- raw total energy (eV per atom) = -8.743
- space-group type = F-43m, No. 216
- density (g/cm³) = 15.834

***

No. 3
The following is a PBE-GGA calculation of K2GaPbSe4 after structural relaxation, from the Alexandria database.

POSCAR file:
```
K2GaPbSe4
1.0
-1.275 6.935 -0.497
-4.466 2.460 -4.483
-4.863 2.973 3.689
K Ga Pb Se
2 1 1 4
Direct
0.000 0.500 0.500 K
0.500 0.500 0.500 K
0.500 0.000 0.000 Ga
0.000 0.000 0.000 Pb
0.119 0.342 0.000 Se
0.881 0.000 0.658 Se
0.539 0.000 0.342 Se
0.461 0.658 0.000 Se
```

Computed properties:
- raw total energy (eV per atom) = -3.641
- formation energy from raw total energies (eV per atom) = -0.78
- space-group type = I-42m, No. 121
- density (g/cm³) = 4.690

***

No. 4
The following is a PBE-GGA calculation of Fe2AsAu after structural relaxation, from the Alexandria database.

POSCAR file:
```
Fe2AsAu
1.0
-3.804 -2.996 -0.472
1.353 -4.660 -0.357
1.086 3.581 3.110
As Au Fe
1 1 2
Direct
0.500 0.500 0.000 As
0.750 0.250 0.500 Au
0.000 0.000 0.000 Fe
0.250 0.750 0.500 Fe
```

Computed properties:
- raw total energy (eV per atom) = -5.962
- space-group type = I-4m2, No. 119
- density (g/cm³) = 10.731

***

No. 5
The following is a PBE-GGA calculation of Zr6ScFe2 after structural relaxation, from the Alexandria database.

POSCAR file:
```
Zr6ScFe2
1.0
-2.983 -1.349 -0.435
0.083 -2.578 -5.117
2.337 -9.901 2.146
Zr Sc Fe
6 1 2
Direct
0.698 0.477 0.127 Zr
0.302 0.523 0.873 Zr
0.331 0.767 0.572 Zr
0.971 0.744 0.313 Zr
0.029 0.256 0.687 Zr
0.669 0.233 0.428 Zr
0.000 0.000 0.000 Sc
0.329 0.116 0.226 Fe
0.671 0.884 0.774 Fe
```

Computed properties:
- raw total energy (eV per atom) = -8.344
- space-group type = C2/m, No. 12
- density (g/cm³) = 6.432

***

No. 6
The following is a PBE-GGA calculation of Y2Ho3Sc8 after structural relaxation, from the Alexandria database.

POSCAR file:
```
Y2Ho3Sc8
1.0
-0.387 -0.655 5.149
-1.180 -7.039 -0.984
10.409 1.801 1.007
Y Ho Sc
2 3 8
Direct
0.499 0.240 0.479 Y
0.501 0.760 0.521 Y
0.500 0.000 0.000 Ho
0.000 0.287 0.000 Ho
0.000 0.713 0.000 Ho
0.001 0.661 0.322 Sc
0.999 0.339 0.678 Sc
0.000 0.128 0.256 Sc
0.000 0.872 0.744 Sc
0.500 0.599 0.782 Sc
0.500 0.183 0.782 Sc
0.500 0.817 0.218 Sc
0.500 0.401 0.218 Sc
```

Computed properties:
- raw total energy (eV per atom) = -5.660
- space-group type = C2/m, No. 12
- density (g/cm³) = 4.579

***

No. 7
The following is a PBE-GGA calculation of TlTcW2 after structural relaxation, from the Alexandria database.

POSCAR file:
```
TlTcW2
1.0
3.398 0.000 0.000
0.000 3.398 0.000
0.000 0.000 6.235
Tc Tl W
1 1 2
Direct
0.500 0.500 0.250 Tc
0.500 0.500 0.750 Tl
0.000 0.000 0.051 W
0.000 0.000 0.449 W
```

Computed properties:
- raw total energy (eV per atom) = -8.900
- space-group type = P4/mmm, No. 123
- density (g/cm³) = 15.457

***

No. 8
The following is a PBE-GGA calculation of AcMgZn2Pt5 after structural relaxation, from the Alexandria database.

POSCAR file:
```
AcMgZn2Pt5
1.0
4.695 0.000 0.000
0.000 4.695 0.000
0.000 0.000 7.733
Ac Mg Zn Pt
1 1 2 5
Direct
0.000 0.000 0.500 Ac
0.000 0.000 0.000 Mg
0.500 0.500 0.154 Zn
0.500 0.500 0.846 Zn
0.000 0.500 0.236 Pt
0.500 0.000 0.236 Pt
0.000 0.500 0.764 Pt
0.500 0.000 0.764 Pt
0.500 0.500 0.500 Pt
```

Computed properties:
- raw total energy (eV per atom) = -4.759
- space-group type = P4/mmm, No. 123
- density (g/cm³) = 13.222

***

No. 9
The following is a PBE-GGA calculation of HoPuAlHg after structural relaxation, from the Alexandria database.

POSCAR file:
```
HoPuAlHg
1.0
-4.119 -2.309 -2.205
-1.242 -4.895 1.288
-4.277 -0.947 2.823
Ho Al Hg Pu
1 1 1 1
Direct
0.000 0.000 0.000 Ho
0.250 0.250 0.250 Al
0.750 0.750 0.750 Hg
0.500 0.500 0.500 Pu
```

Computed properties:
- raw total energy (eV per atom) = -5.947
- space-group type = F-43m, No. 216
- density (g/cm³) = 10.562

***

No. 10
The following is a PBE-GGA calculation of La2ErGe3Pt4 after structural relaxation, from the Alexandria database.

POSCAR file:
```
La2ErGe3Pt4
1.0
-3.851 1.723 1.095
0.867 -0.737 4.207
4.715 10.035 0.786
La Er Ge Pt
2 1 3 4
Direct
0.500 0.000 0.227 La
0.000 0.500 0.773 La
0.500 0.500 0.500 Er
0.000 0.000 0.500 Ge
0.500 0.000 0.879 Ge
0.000 0.500 0.121 Ge
0.500 0.500 0.000 Pt
0.000 0.000 0.000 Pt
0.500 0.000 0.654 Pt
0.000 0.500 0.346 Pt
```

Computed properties:
- raw total energy (eV per atom) = -6.258
- space-group type = P-4m2, No. 115
- density (g/cm³) = 11.352

***

No. 11
The following is a PBE-GGA calculation of BaCaSi after structural relaxation, from the Alexandria database.

POSCAR file:
```
BaCaSi
1.0
5.245 0.000 0.000
-2.622 4.542 0.000
0.000 0.000 8.419
Ba Ca Si
2 2 2
Direct
0.000 0.000 0.000 Ba
0.000 0.000 0.500 Ba
0.667 0.333 0.250 Ca
0.333 0.667 0.750 Ca
0.333 0.667 0.250 Si
0.667 0.333 0.750 Si
```

Computed properties:
- raw total energy (eV per atom) = -3.422
- formation energy from raw total energies (eV per atom) = -0.31
- space-group type = P6_3/mmc, No. 194
- density (g/cm³) = 3.403

***

No. 12
The following is a PBE-GGA calculation of Tb3Ag4SnS8 after structural relaxation, from the Alexandria database.

POSCAR file:
```
Tb3Ag4SnS8
1.0
-3.338 4.569 -5.719
-4.276 -6.002 -2.299
-0.012 2.483 7.649
Tb Ag Sn S
3 4 1 8
Direct
0.500 0.500 0.000 Tb
0.500 0.500 0.500 Tb
0.000 0.500 0.500 Tb
0.500 0.000 0.000 Ag
0.500 0.000 0.500 Ag
0.000 0.000 0.000 Ag
0.000 0.000 0.500 Ag
0.000 0.500 0.000 Sn
0.247 0.744 0.998 S
0.247 0.745 0.495 S
0.253 0.260 0.506 S
0.751 0.744 0.998 S
0.249 0.256 0.002 S
0.747 0.740 0.494 S
0.753 0.255 0.505 S
0.753 0.256 0.002 S
```

Computed properties:
- raw total energy (eV per atom) = -4.910
- formation energy from raw total energies (eV per atom) = -1.02
- space-group type = C2/m, No. 12
- density (g/cm³) = 6.179